# 1
Below is a relaxed NaHgCl4 crystal, with properties calculated at the PBE level.

```
NaHgCl4
1.0
-4.806 4.806 3.948
4.806 -4.806 3.948
4.806 4.806 -3.948
Na Hg Cl
2 2 8
direct
0.000 0.000 0.000
0.750 0.250 0.500
0.265 0.765 0.500
0.515 0.515 0.000
0.208 0.533 0.676
0.283 0.107 0.824
0.283 0.458 0.176
0.301 0.985 0.316
0.670 0.985 0.684
0.735 0.551 0.816
0.735 0.920 0.184
0.857 0.533 0.324
```

Values from the calculation:
Crystal system: tetragonal
Uncorrected formation energy (eV/atom): -0.76
DFT total energy (eV/cell): -27.170
Mass density (g/cm³): 3.33
Space-group type: I4_1md
DOS(E_F) (states/eV/cell): 2.39

---

# 2
Below is a relaxed HfAsS3 crystal, with properties calculated at the PBE level.

```
HfAsS3
1.0
4.627 0.000 0.000
0.000 4.627 0.000
0.000 0.000 4.627
Hf As S
1 1 3
direct
0.000 0.000 0.000
0.500 0.500 0.500
0.000 0.500 0.500
0.500 0.000 0.500
0.500 0.500 0.000
```

Values from the calculation:
Crystal system: cubic
Uncorrected formation energy (eV/atom): 0.27
DFT total energy (eV/cell): -25.622
Mass density (g/cm³): 5.86
Space-group type: Pm-3m
DOS(E_F) (states/eV/cell): 4.50
Relative energy among the computed polymorphs (eV/atom): 0.438

---

# 3
Below is a relaxed Np2UTl3Te6 crystal, with properties calculated at the PBE level.

```
Np2UTl3Te6
1.0
3.859 -6.684 0.000
3.859 6.684 0.000
-2.572 0.000 8.250
Np U Tl Te
2 1 3 6
direct
0.167 0.833 0.000
0.833 0.167 0.000
0.500 0.500 0.000
0.000 0.000 0.500
0.333 0.667 0.500
0.667 0.333 0.500
0.097 0.428 0.785
0.241 0.241 0.216
0.428 0.097 0.785
0.572 0.903 0.215
0.759 0.759 0.784
0.903 0.572 0.215
```

Values from the calculation:
Crystal system: monoclinic
Uncorrected formation energy (eV/atom): -0.55
DFT total energy (eV/cell): -69.728
Mass density (g/cm³): 8.16
Space-group type: C2/m
DOS(E_F) (states/eV/cell): 26.90

---

# 4
Below is a relaxed Y2ErPa2Co5 crystal, with properties calculated at the PBE level.

```
Y2ErPa2Co5
1.0
10.481 0.000 0.000
0.000 10.481 0.000
0.000 0.000 3.452
Y Er Pa Co
4 2 4 10
direct
0.171 0.329 0.000
0.329 0.829 0.000
0.671 0.171 0.000
0.829 0.671 0.000
0.000 0.000 0.000
0.500 0.500 0.000
0.136 0.636 0.000
0.364 0.136 0.000
0.636 0.864 0.000
0.864 0.364 0.000
0.000 0.500 0.500
0.041 0.778 0.500
0.222 0.041 0.500
0.278 0.541 0.500
0.459 0.278 0.500
0.500 0.000 0.500
0.541 0.722 0.500
0.722 0.459 0.500
0.778 0.959 0.500
0.959 0.222 0.500
```

Values from the calculation:
Crystal system: tetragonal
DFT total energy (eV/cell): -146.923
Mass density (g/cm³): 9.65
Space-group type: P4/mbm
DOS(E_F) (states/eV/cell): 9.58

---

# 5
Below is a relaxed SmThBeCu crystal, with properties calculated at the PBE level.

```
SmThBeCu
1.0
0.000 3.533 3.533
3.533 0.000 3.533
3.533 3.533 0.000
Sm Th Be Cu
1 1 1 1
direct
0.000 0.000 0.000
0.500 0.500 0.500
0.750 0.750 0.750
0.250 0.250 0.250
```

Values from the calculation:
Crystal system: cubic
DFT total energy (eV/cell): -19.680
Mass density (g/cm³): 8.57
Space-group type: F-43m
DOS(E_F) (states/eV/cell): 3.88

---

# 6
Below is a relaxed Ba2LiPdBr crystal, with properties calculated at the PBE level.

```
Ba2LiPdBr
1.0
6.217 0.000 0.000
0.000 6.217 0.000
0.000 0.000 4.787
Ba Li Pd Br
2 1 1 1
direct
0.000 0.500 0.000
0.500 0.000 0.000
0.000 0.000 0.500
0.000 0.000 0.000
0.500 0.500 0.500
```

Values from the calculation:
Crystal system: tetragonal
Uncorrected formation energy (eV/atom): -0.71
DFT total energy (eV/cell): -16.150
Mass density (g/cm³): 4.20
Space-group type: P4/mmm
DOS(E_F) (states/eV/cell): 2.82